Record 1
Below is a geometry-optimized PrDyAlIr2 structure, with properties calculated at the PBE level.

Calculated values
Volume in Å³/f.u.: 106.5
VASP energy in eV per formula unit: -35.01
Magnetic moment in μB/f.u.: 0.00

Lattice parameters (Å, degrees): 4.140 5.865 8.767 90.00 90.00 90.00
Space group Imm2 (No. 44)
Asymmetric unit:
Pr: 0.000 0.000 0.000 (multiplicity 2)
Dy: 0.000 0.000 0.397 (multiplicity 2)
Al: 0.000 0.500 0.198 (multiplicity 2)
Ir: 0.000 0.258 0.699 (multiplicity 4)

=====

Record 2
Below is a geometry-optimized Dy2AlSiIr structure, with properties calculated at the PBE level.

Calculated values
Volume in Å³/f.u.: 102.0
VASP energy in eV per formula unit: -31.16
Magnetic moment in μB/f.u.: 0.00

Lattice parameters (Å, degrees): 4.133 8.724 5.656 90.00 90.00 90.00
Space group Imm2 (No. 44)
Asymmetric unit:
Dy: 0.000 0.204 0.000 (multiplicity 4)
Al: 0.000 0.000 0.502 (multiplicity 2)
Si: 0.000 0.500 0.723 (multiplicity 2)
Ir: 0.000 0.500 0.280 (multiplicity 2)

=====

Record 3
Below is a geometry-optimized TbDy2Al3Si2Ir structure, with properties calculated at the PBE level.

Calculated values
Volume in Å³/f.u.: 175.2
VASP energy in eV per formula unit: -52.52
Magnetic moment in μB/f.u.: 0.00

Lattice parameters (Å, degrees): 4.223 11.989 6.919 90.00 90.00 90.00
Space group Amm2 (No. 38)
Asymmetric unit:
Tb: 0.000 0.000 0.000 (multiplicity 2)
Dy: 0.000 0.208 0.376 (multiplicity 4)
Al: 0.500 0.000 0.351 (multiplicity 2)
Al: 0.500 0.117 0.700 (multiplicity 4)
Si: 0.500 0.167 0.084 (multiplicity 4)
Ir: 0.000 0.000 0.583 (multiplicity 2)

=====

Record 4
Below is a geometry-optimized Dy2TmAl3Si2Ir structure, with properties calculated at the PBE level.

Calculated values
Volume in Å³/f.u.: 172.8
VASP energy in eV per formula unit: -52.41
Magnetic moment in μB/f.u.: 0.00

Lattice parameters (Å, degrees): 4.210 11.909 6.892 90.00 90.00 90.00
Space group Amm2 (No. 38)
Asymmetric unit:
Dy: 0.000 0.208 0.000 (multiplicity 4)
Tm: 0.000 0.000 0.376 (multiplicity 2)
Al: 0.500 0.000 0.025 (multiplicity 2)
Al: 0.500 0.117 0.674 (multiplicity 4)
Si: 0.500 0.165 0.292 (multiplicity 4)
Ir: 0.000 0.000 0.788 (multiplicity 2)

=====

Record 5
Below is a geometry-optimized DyTm2Al3Si2Ir structure, with properties calculated at the PBE level.

Calculated values
Volume in Å³/f.u.: 171.1
VASP energy in eV per formula unit: -52.30
Magnetic moment in μB/f.u.: 0.00

Lattice parameters (Å, degrees): 4.200 11.892 6.850 90.00 90.00 90.00
Space group Amm2 (No. 38)
Asymmetric unit:
Dy: 0.000 0.000 0.000 (multiplicity 2)
Tm: 0.000 0.208 0.375 (multiplicity 4)
Al: 0.500 0.000 0.349 (multiplicity 2)
Al: 0.500 0.117 0.699 (multiplicity 4)
Si: 0.500 0.168 0.083 (multiplicity 4)
Ir: 0.000 0.000 0.580 (multiplicity 2)

=====

Record 6
Below is a geometry-optimized Dy2YAl3Si2Ir structure, with properties calculated at the PBE level.

Calculated values
Volume in Å³/f.u.: 174.7
VASP energy in eV per formula unit: -54.39
Magnetic moment in μB/f.u.: 0.00

Lattice parameters (Å, degrees): 4.218 11.976 6.917 90.00 90.00 90.00
Space group Amm2 (No. 38)
Asymmetric unit:
Dy: 0.000 0.208 0.000 (multiplicity 4)
Y: 0.000 0.000 0.624 (multiplicity 2)
Al: 0.500 0.000 0.975 (multiplicity 2)
Al: 0.500 0.117 0.324 (multiplicity 4)
Si: 0.500 0.167 0.708 (multiplicity 4)
Ir: 0.000 0.000 0.207 (multiplicity 2)